A plane-wave DFT calculation with GGA-PBE was carried out for a geometry-optimized BeNbCo structure.

a b c (Å): 3.3041 6.1453 6.1453
angles (deg): 120.00 90.00 90.00
Element x y z (fractional)
1 Nb 0.5000 0.4129 0.4129
2 Be 0.0000 0.6667 0.3333
3 Co 0.0000 0.7583 0.7583
4 Nb 0.5000 0.0000 0.5871
5 Be 0.5000 0.0000 0.0000
6 Be 0.0000 0.3333 0.6667
7 Nb 0.5000 0.5871 0.0000
8 Co 0.0000 0.0000 0.2417
9 Co 0.0000 0.2417 0.0000

Output
E above lowest polymorph	0.000	kcal/mol of atoms
formation energy from the elements	-0.820	eV per formula unit